No. 1
Density functional theory data (GGA-PBE) for a relaxed structure of Tb2Ga4Co5.

Cell lengths 5.3948, 9.0733, 14.2856 Å; angles 90.00, 90.00, 90.00 degrees
Closest atoms and distances in Å follow each position.
Space group Fmmm (No. 69)
Symmetry-distinct sites (fractional):
Tb 0.0000 0.0000 0.1274 x8  6 Ga 3.05-3.10, 10 Co 3.17-3.25
Ga 0.0000 0.1579 0.3698 x16  5 Co 2.33-2.45
Co 0.0000 0.0000 0.5000 x4  4 Ga 2.35
Co 0.2500 0.2500 0.0000 x8  4 Ga 2.45, 4 Co 2.64-2.70
Co 0.2500 0.2500 0.2500 x8  4 Ga 2.33

Computed properties:
ΔE_f in meV/atom: -337.9
VASP energy in eV per atom: -5.5104
Calculated volume in A^3/atom: 15.89
Total moment in μB per formula unit: 0.70

=====

No. 2
Density functional theory data (GGA-PBE) for a relaxed structure of La2BRu2.

Cell lengths 6.2504, 6.2504, 4.7721 Å; angles 90.00, 90.00, 90.00 degrees
Closest atoms and distances in Å follow each position.
Space group P4/mbm (No. 127)
Symmetry-distinct sites (fractional):
La 0.1787 0.3213 0.0000 x4  2 Ru 2.75
B 0.0000 0.0000 0.5000 x2  4 Ru 2.33
Ru 0.1675 0.6675 0.5000 x4  2 B 2.33

Computed properties:
Energy relative to the lowest polymorph listed for this composition in meV per atom: 0
ΔE_f in meV/atom: 43.5
VASP energy in eV per atom: -6.9733
Calculated volume in A^3/atom: 18.64
Total moment in μB per formula unit: 0.00

=====

No. 3
Density functional theory data (GGA-PBE) for a relaxed structure of Hf2ReHPd.

Cell lengths 4.5399, 4.5399, 3.6125 Å; angles 90.00, 90.00, 90.00 degrees
Closest atoms and distances in Å follow each position.
Space group P4/mmm (No. 123)
Symmetry-distinct sites (fractional):
Hf 0.0000 0.5000 0.0000 x2  2 H 2.27
Re 0.0000 0.0000 0.5000 x1  2 H 1.81
H 0.0000 0.0000 0.0000 x1  2 Re 1.81
Pd 0.5000 0.5000 0.5000 x1  8 Hf 2.90, 4 Re 3.21

Computed properties:
VASP energy in eV per atom: -8.5653
Calculated volume in A^3/atom: 14.89
Total moment in μB per formula unit: 0.00

=====

No. 4
Density functional theory data (GGA-PBE) for a relaxed structure of CaMg15Cd4.

Cell lengths 4.5853, 4.5853, 21.8518 Å; angles 90.00, 90.00, 90.00 degrees
Closest atoms and distances in Å follow each position.
Space group P4/mmm (No. 123)
Symmetry-distinct sites (fractional):
Ca 0.0000 0.0000 0.0000 x1  12 Mg 3.24-3.35
Mg 0.0000 0.5000 0.1116 x4  2 Cd 3.09, 8 Mg 3.14-3.35, 2 Ca 3.35
Mg 0.0000 0.5000 0.3054 x4  8 Mg 3.10-3.24, 4 Cd 3.12-3.15
Mg 0.0000 0.5000 0.5000 x2  4 Cd 3.13, 8 Mg 3.14-3.24
Mg 0.5000 0.5000 0.0000 x1  4 Ca 3.24, 8 Mg 3.35
Mg 0.5000 0.5000 0.2099 x2  8 Mg 3.10-3.14, 4 Cd 3.24
Mg 0.5000 0.5000 0.4019 x2  8 Mg 3.11-3.14, 4 Cd 3.24
Cd 0.0000 0.0000 0.2065 x2  12 Mg 3.09-3.24
Cd 0.0000 0.0000 0.4023 x2  12 Mg 3.12-3.24

Computed properties:
ΔE_f in meV/atom: -63.3
VASP energy in eV per atom: -1.5423
Calculated volume in A^3/atom: 22.97
Total moment in μB per formula unit: 0.00

=====

> Look up the calculated volume of the fourth one.

22.97 A^3/atom